DFT (PBE+U) results for Bi2WO8 after structural relaxation.

Structure (POSCAR):
```
Bi2WO8
1.0
5.380 0.000 0.000
-0.483 5.569 0.000
-0.729 -1.469 5.406
Bi W O
2 1 8
Cartesian
0.000 0.000 0.000
0.961 1.476 5.192
2.808 -0.257 2.249
-0.037 3.003 4.080
0.864 4.225 1.492
1.987 0.984 0.644
1.930 0.960 3.347
3.260 4.184 0.624
2.809 4.101 3.509
4.450 0.604 1.884
4.478 0.539 4.822
```

- Space group: P1 (1)
- Total energy: -6.0338 eV/atom